First-principles (GGA-PBE) data for Bi3SN after structural relaxation, as listed in Alexandria via LeMat-Bulk.

Calculated values
E above lowest polymorph: 0.0000 eV per atom
formation energy (no corrections): 3.5 eV per formula unit
spin magnetization: 0.000 μB/cell
total energy: -4.12 eV per atom

a = 4.9500 Å, b = 4.9500 Å, c = 4.9500 Å
α = 90.00°, β = 90.00°, γ = 90.00°
Closest atoms and distances in Å follow each position.
Space group Pm-3m (No. 221)
Asymmetric unit:
Bi 0.0000 0.0000 0.5000 (multiplicity 3)  2 N 2.47
S 0.5000 0.5000 0.5000 (multiplicity 1)  12 Bi 3.50
N 0.0000 0.0000 0.0000 (multiplicity 1)  6 Bi 2.47